A relaxed Li5Hf3Se8 crystal, computed with GGA-PBE.

The space group is R-3m (No. 166, hexagonal axes) and the conventional cell measures 7.6360, 7.6360 and 19.2715 Å, with angles of 90.00, 90.00 and 120.00 degrees. The inequivalent atoms are Li at (0.0000, 0.0000, 0.0000), Li at (0.0000, 0.0000, 0.5000), Li at (0.0000, 0.5000, 0.0000), Hf at (0.0000, 0.5000, 0.5000), Se at (0.0000, 0.0000, 0.2493) and Se at (0.0043, 0.5022, 0.7528).

The total energy is -5.512 eV per atom. The density of states at the Fermi level is 0.224 states/eV per atom. Its calculated volume is 20.3 A^3/atom. The calculation puts the size of the total moment at 0.0 Bohr magnetons per cell.